[1]
PuCl2 (PBE-GGA, relaxed); E = -7.535 eV/atom
1.0
0.000 6.188 6.188
6.188 0.000 6.188
6.188 6.188 0.000
Pu Cl
2 4
Direct
0.125 0.125 0.125
0.875 0.875 0.875
0.000 0.000 0.000
0.000 0.000 0.500
0.000 0.500 0.000
0.500 0.000 0.000



[2]
PrMgOs (PBE-GGA, relaxed); E = -4.805 eV/atom
1.0
0.000 3.396 3.396
3.396 0.000 3.396
3.396 3.396 0.000
Pr Mg Os
1 1 1
Direct
0.000 0.000 0.000
0.750 0.750 0.750
0.250 0.250 0.250



[3]
MgZnGaFe (PBE-GGA, relaxed); ΔE to the lowest computed polymorph = 0.0480 eV/atom
1.0
0.000 3.044 3.044
3.044 0.000 3.044
3.044 3.044 0.000
Mg Zn Ga Fe
1 1 1 1
Direct
0.000 0.000 0.000
0.250 0.250 0.250
0.500 0.500 0.500
0.750 0.750 0.750



[4]
AcCoBr (PBE-GGA, relaxed); E = -5.223 eV/atom
1.0
2.092 1.208 12.058
-2.092 1.208 12.058
0.000 -2.415 12.058
Ac Co Br
2 2 2
Direct
0.056 0.056 0.056
0.944 0.944 0.944
0.334 0.334 0.334
0.666 0.666 0.666
0.220 0.220 0.220
0.780 0.780 0.780



[5]
MgScFeSb (PBE-GGA, relaxed); ΔE to the lowest computed polymorph = 0.0000 eV/atom
1.0
0.000 3.226 3.226
3.226 0.000 3.226
3.226 3.226 0.000
Mg Sc Fe Sb
1 1 1 1
Direct
0.000 0.000 0.000
0.750 0.750 0.750
0.500 0.500 0.500
0.250 0.250 0.250



[6]
Nd4Cd3Ni2 (PBE-GGA, relaxed); calculated formation energy = -0.36 eV/atom
1.0
7.585 0.000 0.000
0.000 3.748 0.000
-2.516 0.000 7.885
Nd Cd Ni
4 3 2
Direct
0.085 0.000 0.217
0.392 0.000 0.687
0.608 0.000 0.313
0.915 0.000 0.783
0.000 0.500 0.500
0.302 0.500 0.008
0.698 0.500 0.992
0.345 0.500 0.393
0.655 0.500 0.607



[7]
Ag4HgGe2S7 (PBE-GGA, relaxed); E = -3.774 eV/atom
1.0
8.894 -3.466 0.000
8.894 3.466 0.000
-0.571 0.000 10.626
Ag Hg Ge S
8 2 4 14
Direct
0.114 0.462 0.439
0.126 0.874 0.500
0.249 0.623 0.151
0.462 0.114 0.939
0.545 0.897 0.554
0.623 0.249 0.651
0.874 0.126 0.000
0.897 0.545 0.054
0.392 0.754 0.837
0.754 0.392 0.337
0.034 0.689 0.796
0.325 0.978 0.223
0.689 0.034 0.296
0.978 0.325 0.723
0.023 0.758 0.337
0.052 0.322 0.257
0.166 0.506 0.970
0.254 0.865 0.070
0.273 0.634 0.692
0.322 0.052 0.757
0.430 0.790 0.394
0.506 0.166 0.470
0.587 0.924 0.149
0.634 0.273 0.192
0.758 0.023 0.837
0.790 0.430 0.894
0.865 0.254 0.570
0.924 0.587 0.649



[8]
RbNaTm (PBE-GGA, relaxed); ΔE to the lowest computed polymorph = 0.0000 eV/atom
1.0
0.000 4.275 4.275
4.275 0.000 4.275
4.275 4.275 0.000
Rb Na Tm
1 1 1
Direct
0.000 0.000 0.000
0.500 0.500 0.500
0.750 0.750 0.750



[9]
ZrBeCoBi (PBE-GGA, relaxed); ΔE to the lowest computed polymorph = 0.0000 eV/atom
1.0
0.000 3.238 3.238
3.238 0.000 3.238
3.238 3.238 0.000
Zr Be Co Bi
1 1 1 1
Direct
0.000 0.000 0.000
0.250 0.250 0.250
0.750 0.750 0.750
0.500 0.500 0.500



[10]
BeTlFeW (PBE-GGA, relaxed); ΔE to the lowest computed polymorph = 0.0000 eV/atom
1.0
0.000 3.047 3.047
3.047 0.000 3.047
3.047 3.047 0.000
Be Tl Fe W
1 1 1 1
Direct
0.000 0.000 0.000
0.250 0.250 0.250
0.500 0.500 0.500
0.750 0.750 0.750



[11]
SmGdBiO2 (PBE-GGA, relaxed); E = -7.317 eV/atom
1.0
-1.963 1.963 6.806
1.963 -1.963 6.806
1.963 1.963 -6.806
Sm Gd Bi O
1 1 1 2
Direct
0.000 0.000 0.000
0.668 0.668 0.000
0.335 0.335 0.000
0.087 0.587 0.500
0.587 0.087 0.500



[12]
AlTc (PBE-GGA, relaxed); ΔE to the lowest computed polymorph = 0.0000 eV/atom
1.0
3.096 0.000 0.000
0.000 3.096 0.000
0.000 0.000 5.964
Al Tc
2 2
Direct
0.250 0.250 0.132
0.750 0.750 0.868
0.250 0.250 0.633
0.750 0.750 0.367